# Dy2YCl (PBE-GGA, optimized geometry)
data_Dy2YCl
_chemical_formula_sum 'Dy6 Y3 Cl3'
_space_group_name_H-M_alt 'R -3 m'
_space_group_IT_number 166
_space_group_name_Hall '-R 3 2"'
_cell_length_a 3.4379
_cell_length_b 3.4379
_cell_length_c 33.5439
_cell_angle_alpha 90.00
_cell_angle_beta 90.00
_cell_angle_gamma 120.00
loop_
_atom_site_label
_atom_site_fract_x
_atom_site_fract_y
_atom_site_fract_z
Dy1 0.0000 0.0000 0.1007
Y1 0.0000 0.0000 0.0000
Cl1 0.0000 0.0000 0.5000
# * calculated total energy: -4.75 eV per atom
# * DOS at the Fermi energy: 15.719 states/eV/cell
# * formation energy from raw total energies: -0.368 eV/atom
# * density: 6.5 g/cm3